(1)
Entry from the Alexandria database: a relaxed structure of CeNd2SmBi4 (PBE).

Cell lengths 7.955, 4.591, 7.957 Å; angles 90.00, 109.38, 90.00 degrees
Space group P2/m (No. 10)
Asymmetric unit:
Ce 0.000 0.000 0.000 (multiplicity 1)
Nd 0.000 0.500 0.500 (multiplicity 1)
Nd 0.500 0.000 0.500 (multiplicity 1)
Sm 0.500 0.500 0.000 (multiplicity 1)
Bi 0.249 0.500 0.247 (multiplicity 2)
Bi 0.251 0.000 0.753 (multiplicity 2)

ρ = 8.571 g/cm³
Energy of formation = -0.9059 eV/atom
Total energy = -5.37 eV/atom

(2)
Entry from the Alexandria database: a relaxed structure of LaCrAu2 (PBE).

Cell lengths 6.800, 6.817, 3.842 Å; angles 90.00, 90.00, 90.00 degrees
Space group Cmmm (No. 65)
Asymmetric unit:
La 0.000 0.000 0.000 (multiplicity 2)
Cr 0.000 0.500 0.000 (multiplicity 2)
Au 0.250 0.250 0.500 (multiplicity 4)

ΔE to the lowest computed polymorph = 147 meV per atom
ρ = 10.907 g/cm³
Energy of formation = -0.2034 eV/atom
Total energy = -5.48 eV/atom